Record 1
Entry from Alexandria: crystalline Tl2ZnAuC at its relaxed geometry (PBE-GGA).

Summary:
The formation energy comes out at 4.473 eV per formula unit.

a = 5.775 Å, b = 5.775 Å, c = 3.653 Å
α = 90.00°, β = 90.00°, γ = 90.00°
Atoms (fractional coordinates):
1 Tl 0.000 0.500 0.000
2 Tl 0.500 0.000 0.000
3 Zn 0.000 0.000 0.000
4 Au 0.500 0.500 0.500
5 C 0.000 0.000 0.500

Record 2
Entry from Alexandria: crystalline HoEr5TmTh2 at its relaxed geometry (PBE-GGA).

Summary:
The formation energy comes out at 3.191 eV per formula unit.

a = 9.851 Å, b = 9.851 Å, c = 9.851 Å
α = 127.76°, β = 127.76°, γ = 77.01°
Atoms (fractional coordinates):
1 Ho 0.250 0.250 0.000
2 Ho 0.750 0.750 0.000
3 Er 0.000 0.000 0.000
4 Er 0.070 0.570 0.922
5 Er 0.148 0.070 0.500
6 Er 0.352 0.852 0.922
7 Er 0.430 0.352 0.500
8 Er 0.500 0.500 0.000
9 Er 0.570 0.648 0.500
10 Er 0.648 0.148 0.078
11 Er 0.852 0.930 0.500
12 Er 0.930 0.430 0.078
13 Tm 0.250 0.750 0.500
14 Tm 0.750 0.250 0.500
15 Th 0.120 0.380 0.500
16 Th 0.380 0.880 0.261
17 Th 0.620 0.120 0.739
18 Th 0.880 0.620 0.500

Record 3
Entry from Alexandria: crystalline HfMoS3 at its relaxed geometry (PBE-GGA).

Summary:
The calculation puts the formation energy (no corrections) at 0.13 eV/atom.

a = 4.626 Å, b = 4.626 Å, c = 4.626 Å
α = 90.00°, β = 90.00°, γ = 90.00°
Atoms (fractional coordinates):
1 Hf 0.000 0.000 0.000
2 Mo 0.500 0.500 0.500
3 S 0.000 0.500 0.500
4 S 0.500 0.000 0.500
5 S 0.500 0.500 0.000

Record 4
Entry from Alexandria: crystalline POsSeS2 at its relaxed geometry (PBE-GGA).

Summary:
The calculation puts the formation energy (no corrections) at 1.78 eV/atom.

a = 4.540 Å, b = 4.540 Å, c = 4.656 Å
α = 90.00°, β = 90.00°, γ = 90.00°
Atoms (fractional coordinates):
1 P 0.000 0.000 0.000
2 Os 0.500 0.500 0.000
3 Se 0.000 0.000 0.500
4 S 0.000 0.500 0.500
5 S 0.500 0.000 0.500

Record 5
Entry from Alexandria: crystalline GdBC at its relaxed geometry (PBE-GGA).

Summary:
The formation energy comes out at -0.015 eV per formula unit.

a = 9.836 Å, b = 9.836 Å, c = 3.586 Å
α = 90.00°, β = 90.00°, γ = 160.02°
Atoms (fractional coordinates):
1 Gd 0.156 0.844 0.000
2 Gd 0.844 0.156 0.000
3 B 0.276 0.724 0.500
4 B 0.724 0.276 0.500
5 C 0.353 0.647 0.500
6 C 0.647 0.353 0.500

Record 6
Entry from Alexandria: crystalline Pm2CuSi4Pd3 at its relaxed geometry (PBE-GGA).

Summary:
The calculation puts the formation energy (no corrections) at -0.81 eV/atom.

a = 4.199 Å, b = 4.199 Å, c = 9.997 Å
α = 90.00°, β = 90.00°, γ = 90.00°
Atoms (fractional coordinates):
1 Pm 0.000 0.500 0.249
2 Pm 0.500 0.000 0.751
3 Cu 0.500 0.500 0.000
4 Si 0.000 0.000 0.500
5 Si 0.000 0.500 0.869
6 Si 0.500 0.000 0.131
7 Si 0.500 0.500 0.500
8 Pd 0.000 0.000 0.000
9 Pd 0.000 0.500 0.624
10 Pd 0.500 0.000 0.376

Record 7
Entry from Alexandria: crystalline KTmAgF6 at its relaxed geometry (PBE-GGA).

Summary:
The calculation puts the formation energy (no corrections) at -2.83 eV/atom.

a = 5.905 Å, b = 5.905 Å, c = 5.470 Å
α = 90.82°, β = 90.82°, γ = 117.19°
Atoms (fractional coordinates):
1 K 0.000 0.000 0.000
2 Tm 0.331 0.669 0.500
3 Ag 0.671 0.329 0.500
4 F 0.014 0.370 0.690
5 F 0.044 0.650 0.262
6 F 0.350 0.956 0.738
7 F 0.371 0.362 0.297
8 F 0.630 0.986 0.310
9 F 0.638 0.629 0.703

Record 8
Entry from Alexandria: crystalline Mn2GaN at its relaxed geometry (PBE-GGA).

Summary:
The calculation puts the formation energy (no corrections) at -0.23 eV/atom.

a = 5.214 Å, b = 2.768 Å, c = 6.345 Å
α = 90.00°, β = 99.99°, γ = 90.00°
Atoms (fractional coordinates):
1 Mn 0.000 0.000 0.000
2 Mn 0.146 0.000 0.639
3 Mn 0.340 0.500 0.310
4 Mn 0.652 0.500 0.670
5 Ga 0.496 0.000 0.005
6 Ga 0.858 0.500 0.310
7 N 0.005 0.500 0.795
8 N 0.443 0.000 0.511

Record 9
Entry from Alexandria: crystalline LiTl12In7 at its relaxed geometry (PBE-GGA).

Summary:
The formation energy comes out at 0.003 eV per formula unit.

a = 8.624 Å, b = 8.624 Å, c = 8.624 Å
α = 103.13°, β = 103.13°, γ = 103.13°
Atoms (fractional coordinates):
1 Li 0.000 0.000 0.000
2 Tl 0.080 0.351 0.313
3 Tl 0.234 0.476 0.747
4 Tl 0.253 0.766 0.524
5 Tl 0.313 0.080 0.351
6 Tl 0.351 0.313 0.080
7 Tl 0.476 0.747 0.234
8 Tl 0.524 0.253 0.766
9 Tl 0.649 0.687 0.920
10 Tl 0.687 0.920 0.649
11 Tl 0.747 0.234 0.476
12 Tl 0.766 0.524 0.253
13 Tl 0.920 0.649 0.687
14 In 0.067 0.686 0.097
15 In 0.097 0.067 0.686
16 In 0.314 0.903 0.933
17 In 0.500 0.500 0.500
18 In 0.686 0.097 0.067
19 In 0.903 0.933 0.314
20 In 0.933 0.314 0.903

Final energy list, top to bottom, in eV per atom: -2.807; -4.835; -6.500; -3.901; -9.999; -5.899; -5.010; -7.650; -2.474